Material: Dy2Zn15Co2
Method: DFT, PBE
State: optimized geometry

Unit cell a=6.715 b=6.715 c=6.715 alpha=82.65 beta=82.65 gamma=82.65
Element x y z (fractional)
Zn: 0.000 0.000 0.500
Zn: 0.286 0.000 0.714
Zn: 0.849 0.350 0.350
Zn: 0.650 0.151 0.650
Zn: 0.286 0.714 0.000
Zn: 0.000 0.286 0.714
Zn: 0.714 0.000 0.286
Zn: 0.151 0.650 0.650
Zn: 0.714 0.286 0.000
Zn: 0.350 0.849 0.350
Zn: 0.500 0.000 0.000
Zn: 0.650 0.650 0.151
Zn: 0.350 0.350 0.849
Zn: 0.000 0.500 0.000
Zn: 0.000 0.714 0.286
Co: 0.907 0.907 0.907
Co: 0.093 0.093 0.093
Dy: 0.668 0.668 0.668
Dy: 0.332 0.332 0.332

Calculated values
The calculation puts the calculated formation energy at -17.17 kJ/mol of atoms. The value obtained for the density is 7993 kg/m³.


Material: DyZnCo
Method: DFT, PBE
State: optimized geometry

Unit cell a=3.326 b=3.326 c=5.332 alpha=108.17 beta=108.17 gamma=90.00
Element x y z (fractional)
Dy: 0.958 0.958 0.916
Co: 0.639 0.639 0.278
Zn: 0.253 0.253 0.506

Calculated values
The calculation puts the calculated formation energy at -12.11 kJ/mol of atoms. The value obtained for the density is 9000 kg/m³.


Material: DyZnCo
Method: DFT, PBE
State: optimized geometry

Unit cell a=4.004 b=5.311 c=6.841 alpha=56.29 beta=90.01 gamma=67.87
Element x y z (fractional)
Dy: 0.230 0.832 0.481
Dy: 0.365 0.562 0.114
Co: 0.933 0.426 0.470
Co: 0.662 0.967 0.125
Zn: 0.609 0.073 0.708
Zn: 0.985 0.320 0.887

Calculated values
The calculation puts the calculated formation energy at -27.51 kJ/mol of atoms. The value obtained for the density is 8829 kg/m³.


Material: Dy4ZnCo4
Method: DFT, PBE
State: optimized geometry

Unit cell a=5.379 b=8.180 c=8.180 alpha=90.00 beta=90.00 gamma=90.00
Element x y z (fractional)
Co: 0.100 0.619 0.509
Co: 0.400 0.509 0.881
Co: 0.900 0.119 0.009
Co: 0.600 0.491 0.119
Co: 0.400 0.991 0.619
Co: 0.600 0.009 0.381
Co: 0.900 0.381 0.491
Co: 0.100 0.881 0.991
Dy: 0.392 0.313 0.541
Dy: 0.892 0.041 0.687
Dy: 0.108 0.541 0.187
Dy: 0.608 0.813 0.041
Dy: 0.892 0.459 0.813
Dy: 0.392 0.187 0.959
Dy: 0.608 0.687 0.459
Dy: 0.108 0.959 0.313
Zn: 0.750 0.250 0.250
Zn: 0.250 0.750 0.750

Calculated values
The calculation puts the calculated formation energy at -9.66 kJ/mol of atoms. The value obtained for the density is 8776 kg/m³.


Material: Dy4ZnCo2
Method: DFT, PBE
State: optimized geometry

Unit cell a=8.628 b=9.037 c=6.781 alpha=127.18 beta=105.85 gamma=107.16
Element x y z (fractional)
Dy: 0.892 0.603 0.803
Dy: 0.764 0.665 0.308
Dy: 0.877 0.124 0.231
Dy: 0.426 0.508 0.639
Dy: 0.260 0.176 0.715
Dy: 0.916 0.260 0.848
Dy: 0.435 0.025 0.145
Dy: 0.411 0.806 0.444
Co: 0.195 0.534 0.841
Co: 0.586 0.272 0.726
Co: 0.626 0.867 0.240
Co: 0.686 0.273 0.094
Zn: 0.080 0.597 0.503
Zn: 0.097 0.040 0.964

Calculated values
The calculation puts the calculated formation energy at -14.70 kJ/mol of atoms. The value obtained for the density is 8537 kg/m³.


Material: DyZn4Co2
Method: DFT, PBE
State: optimized geometry

Unit cell a=4.953 b=5.216 c=5.216 alpha=77.00 beta=61.74 gamma=61.74
Element x y z (fractional)
Zn: 0.306 0.388 0.000
Zn: 0.694 0.000 0.612
Zn: 0.306 0.000 0.388
Zn: 0.694 0.612 0.000
Co: 0.750 0.500 0.500
Co: 0.250 0.500 0.500
Dy: 0.000 0.000 0.000

Calculated values
The calculation puts the calculated formation energy at -17.66 kJ/mol of atoms. The value obtained for the density is 8609 kg/m³.


Repeat the sixth record exactly.
Material: DyZn4Co2
Method: DFT, PBE
State: optimized geometry

Unit cell a=4.953 b=5.216 c=5.216 alpha=77.00 beta=61.74 gamma=61.74
Element x y z (fractional)
Zn: 0.306 0.388 0.000
Zn: 0.694 0.000 0.612
Zn: 0.306 0.000 0.388
Zn: 0.694 0.612 0.000
Co: 0.750 0.500 0.500
Co: 0.250 0.500 0.500
Dy: 0.000 0.000 0.000

Calculated values
The calculation puts the calculated formation energy at -17.66 kJ/mol of atoms. The value obtained for the density is 8609 kg/m³.


What is the formula in the first record? Dy2Zn15Co2


What is the calculated formation energy in the third record? -27.51 kJ/mol of atoms


Which formula does entry 1 have? Dy2Zn15Co2